Here is a geometry-optimized Ac2SeNCl structure from Alexandria. Energies are from GGA-PBE.

Values from the calculation:
E, eV per cell: -125.1

Cell lengths 16.589, 4.287, 10.908 Å; angles 90.00, 128.59, 90.00 degrees
Space group C2/m (No. 12)
Unique sites:
1 Ac 0.095 0.000 0.344
2 Ac 0.136 0.500 0.698
3 Se 0.222 0.500 0.295
4 N 0.049 0.500 0.414
5 Cl 0.136 0.000 0.903

---

Here is a geometry-optimized Pm2GdTm structure from Alexandria. Energies are from GGA-PBE.

Values from the calculation:
Energy of formation from the pure elements, eV per atom: 0.1109
Relative energy among the computed polymorphs, eV/f.u.: 0.39

Cell lengths 8.090, 8.090, 8.090 Å; angles 90.00, 90.00, 90.00 degrees
Space group Fm-3m (No. 225)
Unique sites:
1 Pm 0.250 0.250 0.250
2 Gd 0.000 0.000 0.000
3 Tm 0.000 0.000 0.500

---

Here is a geometry-optimized YMg6Sc2 structure from Alexandria. Energies are from GGA-PBE.

Values from the calculation:
Energy of formation from the pure elements, eV per atom: -0.0325

Cell lengths 8.8877, 8.8877, 3.1908 Å; angles 90.00, 90.00, 120.00 degrees
Space group P6/mmm (No. 191)
Unique sites:
1 Y 0.0000 0.0000 0.0000
2 Mg 0.0000 0.3379 0.5000
3 Sc 0.3333 0.6667 0.0000